(1)
A plane-wave DFT calculation with PBE-GGA was carried out for RbScTc3 after structural relaxation.

a b c (Å): 4.9320 4.9320 4.9320
angles (deg): 90.00 90.00 90.00
Positions (direct):
Sc1 0.0000 0.0000 0.0000
Tc1 0.0000 0.5000 0.0000
Tc2 0.0000 0.0000 0.5000
Tc3 0.5000 0.0000 0.0000
Rb1 0.5000 0.5000 0.5000

## Properties
Calculated volume ... 120 Å³/cell
Energy of formation ... 1.993 eV per atom
Distance to the lowest polymorph of the same formula ... 0 meV/atom
SG ... Pm-3m, No. 221



(2)
A plane-wave DFT calculation with PBE-GGA was carried out for Ag3BiPd6 after structural relaxation.

a b c (Å): 7.1022 7.0749 7.2081
angles (deg): 90.00 90.23 90.00
Positions (direct):
Ag1 0.5813 0.8152 0.7628
Ag2 0.5000 0.5000 0.0000
Ag3 0.4187 0.1848 0.2372
Ag4 0.0813 0.6848 0.2628
Ag5 0.0000 0.0000 0.5000
Ag6 0.9187 0.3152 0.7372
Bi1 0.5000 0.5000 0.5000
Bi2 0.0000 0.0000 0.0000
Pd1 0.6472 0.1395 0.9452
Pd2 0.6353 0.1349 0.5475
Pd3 0.7930 0.3684 0.2533
Pd4 0.2070 0.6316 0.7467
Pd5 0.3647 0.8651 0.4525
Pd6 0.3528 0.8605 0.0548
Pd7 0.1472 0.3605 0.4452
Pd8 0.1353 0.3651 0.0475
Pd9 0.2930 0.1316 0.7533
Pd10 0.7070 0.8684 0.2467
Pd11 0.8647 0.6349 0.9525
Pd12 0.8528 0.6395 0.5548

## Properties
Calculated volume ... 362 Å³/cell
Energy of formation ... 0.043 eV per atom
Distance to the lowest polymorph of the same formula ... 127 meV/atom
SG ... P2_1/c, No. 14



(3)
A plane-wave DFT calculation with PBE-GGA was carried out for NaSn4P3O12 after structural relaxation.

a b c (Å): 9.8688 9.8688 10.0612
angles (deg): 60.63 60.63 60.00
Positions (direct):
Na1 0.6604 0.6604 0.0189
Na2 0.1604 0.1604 0.5189
Sn1 0.8764 0.2099 0.1727
Sn2 0.7411 0.8764 0.1727
Sn3 0.2099 0.7411 0.1727
Sn4 0.2411 0.7099 0.6727
Sn5 0.7099 0.3764 0.6727
Sn6 0.3764 0.2411 0.6727
Sn7 0.3111 0.3111 0.0666
Sn8 0.8111 0.8111 0.5666
P1 0.4508 0.3480 0.2913
P2 0.9099 0.4508 0.2913
P3 0.3480 0.9099 0.2913
P4 0.8480 0.9508 0.7913
P5 0.9508 0.4099 0.7913
P6 0.4099 0.8480 0.7913
O1 0.1197 0.2978 0.8201
O2 0.6197 0.2623 0.3201
O3 0.8515 0.8107 0.9569
O4 0.8107 0.3809 0.9569
O5 0.3809 0.8515 0.9569
O6 0.3515 0.8809 0.4569
O7 0.8809 0.3107 0.4569
O8 0.3107 0.3515 0.4569
O9 0.0946 0.4369 0.2226
O10 0.4369 0.2460 0.2226
O11 0.2460 0.0946 0.2226
O12 0.5946 0.7460 0.7226
O13 0.2623 0.7978 0.3201
O14 0.9369 0.5946 0.7226
O15 0.3657 0.0279 0.6731
O16 0.9334 0.3657 0.6731
O17 0.0279 0.9334 0.6731
O18 0.4334 0.5279 0.1731
O19 0.8657 0.4334 0.1731
O20 0.5279 0.8657 0.1731
O21 0.7460 0.9369 0.7226
O22 0.7623 0.1197 0.8201
O23 0.2978 0.7623 0.8201
O24 0.7978 0.6197 0.3201

## Properties
Calculated volume ... 699 Å³/cell
Raw formation energy ... -1.93 eV per atom
SG ... R3c, No. 161



(4)
A plane-wave DFT calculation with PBE-GGA was carried out for Tm2ZrCu3 after structural relaxation.

a b c (Å): 3.3601 3.3601 10.1707
angles (deg): 90.00 90.00 90.00
Positions (direct):
Tm1 0.5000 0.5000 0.8295
Tm2 0.5000 0.5000 0.1705
Zr1 0.5000 0.5000 0.5000
Cu1 0.0000 0.0000 0.0000
Cu2 0.0000 0.0000 0.6518
Cu3 0.0000 0.0000 0.3482

## Properties
Calculated volume ... 115 Å³/cell
Energy of formation ... -0.212 eV per atom
SG ... P4/mmm, No. 123



(5)
A plane-wave DFT calculation with PBE-GGA was carried out for NbGeN after structural relaxation.

a b c (Å): 2.9542 2.9542 10.1763
angles (deg): 90.00 90.00 90.00
Positions (direct):
Nb1 0.0000 0.0000 0.9483
Nb2 0.5000 0.5000 0.4483
Ge1 0.0000 0.0000 0.6584
Ge2 0.5000 0.5000 0.1584
N1 0.0000 0.0000 0.3999
N2 0.5000 0.5000 0.8999

## Properties
Calculated volume ... 89 Å³/cell
Raw formation energy ... -0.31 eV per atom
Distance to the lowest polymorph of the same formula ... 158 meV/atom
SG ... I4mm, No. 107



(6)
A plane-wave DFT calculation with PBE-GGA was carried out for ScOs2Au2 after structural relaxation.

a b c (Å): 7.3580 7.3580 7.3580
angles (deg): 151.34 151.34 40.98
Positions (direct):
Sc1 0.0000 0.0000 0.0000
Os1 0.2500 0.7500 0.5000
Os2 0.7500 0.2500 0.5000
Au1 0.5970 0.5970 0.0000
Au2 0.4030 0.4030 0.0000

## Properties
Calculated volume ... 91 Å³/cell
Energy of formation ... 0.217 eV per atom
SG ... I4/mmm, No. 139



(7)
A plane-wave DFT calculation with PBE-GGA was carried out for B2SbOsPt after structural relaxation.

a b c (Å): 3.9634 5.8687 3.9634
angles (deg): 90.00 90.00 90.00
Positions (direct):
Sb1 0.0000 0.5000 0.0000
B1 0.0000 0.0000 0.5000
B2 0.5000 0.0000 0.0000
Os1 0.5000 0.5000 0.5000
Pt1 0.0000 0.0000 0.0000

## Properties
Calculated volume ... 92 Å³/cell
Raw formation energy ... 1.28 eV per atom
SG ... P4/mmm, No. 123



(8)
A plane-wave DFT calculation with PBE-GGA was carried out for Zr2ReHg after structural relaxation.

a b c (Å): 7.6642 7.6642 6.1507
angles (deg): 51.46 51.46 90.00
Positions (direct):
Re1 0.5000 0.5000 0.0000
Re2 0.2500 0.7500 0.5000
Hg1 0.0000 0.0000 0.0000
Hg2 0.7500 0.2500 0.5000
Zr1 0.5935 0.1250 0.2500
Zr2 0.1565 0.6250 0.2500
Zr3 0.3750 0.4065 0.7500
Zr4 0.8750 0.8435 0.7500

## Properties
Calculated volume ... 171 Å³/cell
Energy of formation ... 0.373 eV per atom
SG ... I-42d, No. 122